# 1
Ba2DyFeO5 after structural relaxation, computed with PBE with a Hubbard U.

Results
E, eV/atom: -6.86
Crystal system: orthorhombic
Total moment, μB/cell: 9.87
SG: No. 36

Cell: 7.7500 7.7500 11.5211 Å, 90.00 90.00 153.34°
Closest atoms and distances in Å follow each position.
Fractional positions:
Ba (0.1057, 0.8943, 0.5000)  6 O 2.72-2.91
Ba (0.1384, 0.8616, 0.1544)  7 O 2.74-2.95
Ba (0.8616, 0.1384, 0.6544)  7 O 2.74-2.95
Ba (0.8943, 0.1057, 0.0000)  6 O 2.72-2.91
Dy (0.2047, 0.7953, 0.8610)  5 O 2.16-2.39
Dy (0.7953, 0.2047, 0.3610)  5 O 2.16-2.39
Fe (0.4510, 0.5490, 0.2625)  4 O 1.85-1.98
Fe (0.5490, 0.4510, 0.7625)  4 O 1.85-1.98
O (0.0407, 0.9593, 0.8357)  2 Fe 1.98
O (0.2892, 0.7108, 0.4840)  2 Dy 2.28
O (0.3252, 0.6748, 0.2295)  1 Fe 1.93
O (0.3461, 0.6539, 0.8335)  1 Dy 2.16
O (0.4962, 0.5038, 0.6178)  1 Fe 1.85
O (0.5038, 0.4962, 0.1178)  1 Fe 1.85
O (0.6539, 0.3461, 0.3335)  1 Dy 2.16
O (0.6748, 0.3252, 0.7295)  1 Fe 1.93
O (0.7108, 0.2892, 0.9840)  2 Dy 2.28
O (0.9593, 0.0407, 0.3357)  2 Fe 1.98



# 2
Li7Mn2Co3O12 after structural relaxation, computed with PBE with a Hubbard U.

Results
E, eV/atom: -5.87
Crystal system: triclinic
Total moment, μB/cell: 12.00
SG: No. 1

Cell: 5.0480 5.8907 7.6697 Å, 103.22 107.48 91.00°
Closest atoms and distances in Å follow each position.
Fractional positions:
Li (0.0000, 0.0000, 0.0000)  6 O 2.07-2.25
Li (0.0006, 0.3575, 0.3328)  6 O 2.04-2.20
Li (0.0057, 0.8560, 0.3375)  5 O 2.03-2.15
Li (0.0080, 0.5299, 0.9972)  6 O 2.04-2.19
Li (0.0176, 0.6870, 0.6747)  5 O 2.01-2.18
Li (0.0211, 0.1728, 0.6770)  5 O 2.02-2.15
Li (0.5130, 0.7667, 0.0018)  6 O 2.04-2.13
Mn (0.5008, 0.6138, 0.3329)  6 O 1.92-1.99
Mn (0.5080, 0.2682, 0.0008)  6 O 1.93-1.97
Co (0.5032, 0.1082, 0.3340)  4 O 1.90-1.95
Co (0.5115, 0.4379, 0.6709)  4 O 1.88-1.96
Co (0.5165, 0.9273, 0.6768)  5 O 1.91-2.08
O (0.2710, 0.3345, 0.1631)  2 Mn 1.95, 2 Li 2.10-2.14
O (0.2765, 0.6597, 0.5025)  1 Co 1.93, 1 Mn 1.94, 3 Li 2.10-2.14
O (0.2840, 0.8162, 0.1915)  1 Mn 1.93, 1 Co 1.93, 3 Li 2.03-2.13
O (0.2839, 0.9862, 0.8358)  1 Co 1.91, 1 Mn 1.94, 3 Li 2.04-2.13
O (0.2889, 0.1590, 0.5048)  2 Co 1.91-1.92
O (0.2928, 0.4527, 0.8380)  1 Co 1.92, 1 Mn 1.94, 3 Li 2.02-2.14
O (0.7124, 0.4059, 0.4854)  2 Co 1.95-1.96, 1 Mn 1.99, 2 Li 2.11-2.17
O (0.7213, 0.0810, 0.1682)  1 Co 1.90, 1 Mn 1.97, 2 Li 2.04-2.05
O (0.7311, 0.5515, 0.1717)  2 Mn 1.92-1.95, 3 Li 2.09-2.14
O (0.7379, 0.8852, 0.5023)  1 Mn 1.93, 1 Co 1.96, 2 Li 2.09-2.11
O (0.7436, 0.2050, 0.8422)  1 Mn 1.93, 1 Co 1.93, 2 Li 2.09-2.14
O (0.7487, 0.7041, 0.8237)  2 Co 1.88-2.08, 4 Li 2.01-2.07